CeDyFe PBE relaxed; magnetic moment = 0.00 μB/cell; VASP energy = -18.83 eV/cell
1.0
4.976 0.000 0.000
0.000 4.036 0.000
0.000 -2.018 3.495
Fe Ce Dy
1 1 1
Direct
0.166 0.000 0.000 Fe
0.167 0.333 0.667 Ce
0.667 0.667 0.333 Dy

***

LaTbDySc PBE relaxed; magnetic moment = 0.00 μB/cell; VASP energy = -20.07 eV/cell
1.0
-3.909 1.879 3.574
-1.036 -2.804 4.760
1.533 2.192 4.943
Sc La Tb Dy
1 1 1 1
Direct
0.000 0.000 0.000 Sc
0.750 0.750 0.750 La
0.250 0.250 0.250 Tb
0.500 0.500 0.500 Dy